Entry from Alexandria via LeMat-Bulk: MnGa5Co4 after structural relaxation (PBE). Values from VASP.

```
&SYSTEM
  ibrav = 0, nat = 10, ntyp = 3
/
ATOMIC_SPECIES
Mn 54.94 Mn.upf
Ga 69.72 Ga.upf
Co 58.93 Co.upf
ATOMIC_POSITIONS crystal
Mn 0.0000 0.0000 0.0000
Ga 0.5000 0.5000 0.1111
Ga 0.5000 0.5000 0.3059
Ga 0.5000 0.5000 0.5000
Ga 0.5000 0.5000 0.6941
Ga 0.5000 0.5000 0.8889
Co 0.0000 0.0000 0.2100
Co 0.0000 0.0000 0.4037
Co 0.0000 0.0000 0.5963
Co 0.0000 0.0000 0.7900
CELL_PARAMETERS angstrom
2.8317 0.0000 0.0000
0.0000 2.8317 0.0000
0.0000 0.0000 15.2869
```

Summary:
The value obtained for the volume is 122.6 Å³/cell. Its total magnetization is 2.4 μB/f.u. Its space group is P4/mmm. For the formation energy, the calculation gives -0.2471 eV per atom.